## Ni3GeRh (PBE)

Data for a relaxed structure of Ni3GeRh.

Cell lengths 4.2641, 4.2641, 4.2641 Å; angles 90.00, 90.00, 90.00 degrees
Positions (direct):
Ni 0.0000 0.0000 0.5000
Ni 0.0000 0.5000 0.0000
Ni 0.5000 0.0000 0.0000
Ge 0.0000 0.0000 0.0000
Rh 0.5000 0.5000 0.5000

The value obtained for the volume is 15.51 Å³/atom.

=====

## Ni2GeRh (PBE)

Data for a relaxed structure of Ni2GeRh.

Cell lengths 3.5332, 3.5332, 17.6029 Å; angles 90.00, 90.00, 90.00 degrees
Positions (direct):
Ni 0.2413 0.2500 0.1250
Ni 0.2500 0.7413 0.3750
Ni 0.2500 0.7587 0.8750
Ni 0.2587 0.2500 0.6250
Ni 0.7413 0.7500 0.6250
Ni 0.7500 0.2413 0.8750
Ni 0.7500 0.2587 0.3750
Ni 0.7587 0.7500 0.1250
Ge 0.0000 0.0000 0.0000
Ge 0.0000 0.5000 0.2500
Ge 0.5000 0.0000 0.7500
Ge 0.5000 0.5000 0.5000
Rh 0.0000 0.0000 0.5000
Rh 0.0000 0.5000 0.7500
Rh 0.5000 0.0000 0.2500
Rh 0.5000 0.5000 0.0000

The value obtained for the volume is 13.73 Å³/atom.

=====

## Ni8Ge6Rh (PBE)

Data for a relaxed structure of Ni8Ge6Rh.

Cell lengths 6.3690, 6.3690, 6.3690 Å; angles 65.75, 65.75, 65.75 degrees
Positions (direct):
Ni 0.0707 0.8092 0.3361
Ni 0.1895 0.1895 0.1895
Ni 0.1908 0.6639 0.9293
Ni 0.3361 0.0707 0.8092
Ni 0.6639 0.9293 0.1908
Ni 0.8092 0.3361 0.0707
Ni 0.8105 0.8105 0.8105
Ni 0.9293 0.1908 0.6639
Ge 0.0788 0.4689 0.6928
Ge 0.3072 0.9212 0.5311
Ge 0.4689 0.6928 0.0788
Ge 0.5311 0.3072 0.9212
Ge 0.6928 0.0788 0.4689
Ge 0.9212 0.5311 0.3072
Rh 0.5000 0.5000 0.5000

The value obtained for the volume is 13.70 Å³/atom.

=====

For the records above, the corresponding calculated formation energy values read 0.80 0.09 -0.21 eV/atom.
For the records above, the corresponding M_tot values read 1.09 0.00 0.00 μB per formula unit.
For the records above, the corresponding N(E_F) values read 1.59 1.15 0.59 states/eV/atom.